ScZnCo2N: optimized geometry, GGA-PBEsol.

Output
Its density of states at the Fermi level is 5.55 states/eV/cell. As for the formation energy without anion corrections: 6.5 eV per formula unit.

Lattice parameters (Å, degrees): 4.4691 4.4691 3.9410 90.00 90.00 90.00
Space group P4/mmm (No. 123)
Symmetry-distinct sites (fractional):
Sc: 0.0000 0.0000 0.0000 [1 per cell]
Zn: 0.5000 0.5000 0.5000 [1 per cell]
Co: 0.0000 0.5000 0.0000 [2 per cell]
N: 0.0000 0.0000 0.5000 [1 per cell]